No. 1
Here is an optimized crystal structure of LiBi2SbS6 from Alexandria. Energies are from PBE.

Results
V = 245.7 Å³/f.u.
ρ = 5.00 Mg/m³
ΔE_f (raw) = -0.370 eV per atom

Structure (CIF):
```
data_LiBi2SbS6
_cell_length_a 6.9159
_cell_length_b 6.9159
_cell_length_c 17.7923
_cell_angle_alpha 90.00
_cell_angle_beta 90.00
_cell_angle_gamma 120.00
_space_group_name_H-M_alt 'R 3'
_space_group_IT_number 146
_space_group_name_Hall 'R 3'
loop_
_atom_site_label
_atom_site_type_symbol
_atom_site_fract_x
_atom_site_fract_y
_atom_site_fract_z
_atom_site_occupancy
Li1 Li 0.0000 0.0000 0.0000 1
Bi1 Bi 0.0000 0.0000 0.2758 1
Bi2 Bi 0.0000 0.0000 0.7842 1
Sb1 Sb 0.0000 0.0000 0.4758 1
S1 S 0.0647 0.6995 0.0499 1
S2 S 0.0685 0.3362 0.5530 1
```



No. 2
Here is an optimized crystal structure of KLa5Hg6 from Alexandria. Energies are from PBE.

Results
V = 363.5 Å³/f.u.
ρ = 8.85 Mg/m³
ΔH_f (0 K) = -0.43 eV per atom

Structure (CIF):
```
data_KLa5Hg6
_cell_length_a 5.538
_cell_length_b 16.635
_cell_length_c 7.893
_cell_angle_alpha 90.00
_cell_angle_beta 90.00
_cell_angle_gamma 90.00
_space_group_name_H-M_alt 'C m m m'
_space_group_IT_number 65
_space_group_name_Hall '-C 2 2'
loop_
_atom_site_label
_atom_site_type_symbol
_atom_site_fract_x
_atom_site_fract_y
_atom_site_fract_z
_atom_site_occupancy
K1 K 0.000 0.000 0.000 1
La1 La 0.000 0.000 0.500 1
La2 La 0.000 0.334 0.500 1
La3 La 0.000 0.339 0.000 1
Hg1 Hg 0.000 0.173 0.251 1
Hg2 Hg 0.000 0.500 0.266 1
```



No. 3
Here is an optimized crystal structure of Ti6AsN2 from Alexandria. Energies are from PBE.

Results
V = 134.9 Å³/f.u.
ρ = 4.80 Mg/m³
ΔE_f (raw) = -0.905 eV per atom

Structure (CIF):
```
data_Ti6AsN2
_cell_length_a 9.935
_cell_length_b 4.023
_cell_length_c 7.331
_cell_angle_alpha 90.00
_cell_angle_beta 112.96
_cell_angle_gamma 90.00
_space_group_name_H-M_alt 'C 1 2/m 1'
_space_group_IT_number 12
loop_
_space_group_symop_operation_xyz
'x,y,z'
'-x,-y,-z'
'-x,y,-z'
'x,-y,z'
'x+1/2,y+1/2,z'
'-x+1/2,-y+1/2,-z'
'-x+1/2,y+1/2,-z'
'x+1/2,-y+1/2,z'
loop_
_atom_site_label
_atom_site_type_symbol
_atom_site_fract_x
_atom_site_fract_y
_atom_site_fract_z
_atom_site_occupancy
Ti1 Ti 0.009 0.000 0.181 1
Ti2 Ti 0.177 0.500 0.609 1
Ti3 Ti 0.186 0.500 0.071 1
As1 As 0.000 0.000 0.500 1
N1 N 0.177 0.000 0.086 1
```



No. 4
Here is an optimized crystal structure of Ho3Al2Au4 from Alexandria. Energies are from PBE.

Results
V = 190.7 Å³/f.u.
ρ = 11.64 Mg/m³
ΔH_f (0 K) = -0.81 eV per atom

Structure (CIF):
```
data_Ho3Al2Au4
_cell_length_a 10.774
_cell_length_b 4.547
_cell_length_c 8.660
_cell_angle_alpha 90.00
_cell_angle_beta 115.95
_cell_angle_gamma 90.00
_space_group_name_H-M_alt 'C 1 2/m 1'
_space_group_IT_number 12
loop_
_space_group_symop_operation_xyz
'x,y,z'
'-x,-y,-z'
'-x,y,-z'
'x,-y,z'
'x+1/2,y+1/2,z'
'-x+1/2,-y+1/2,-z'
'-x+1/2,y+1/2,-z'
'x+1/2,-y+1/2,z'
loop_
_atom_site_label
_atom_site_type_symbol
_atom_site_fract_x
_atom_site_fract_y
_atom_site_fract_z
_atom_site_occupancy
Ho1 Ho 0.000 0.000 0.000 1
Ho2 Ho 0.145 0.500 0.689 1
Al1 Al 0.153 0.500 0.326 1
Au1 Au 0.082 0.000 0.402 1
Au2 Au 0.215 0.500 0.072 1
```



No. 5
Here is an optimized crystal structure of Tb2YHfN4 from Alexandria. Energies are from PBE.

Results
V = 111.8 Å³/f.u.
ρ = 9.52 Mg/m³
ΔE_f (raw) = -1.729 eV per atom

Structure (CIF):
```
data_Tb2YHfN4
_cell_length_a 5.900
_cell_length_b 3.397
_cell_length_c 5.907
_cell_angle_alpha 90.00
_cell_angle_beta 109.19
_cell_angle_gamma 90.00
_space_group_name_H-M_alt 'P 1 2/m 1'
_space_group_IT_number 10
loop_
_space_group_symop_operation_xyz
'x,y,z'
'-x,-y,-z'
'-x,y,-z'
'x,-y,z'
loop_
_atom_site_label
_atom_site_type_symbol
_atom_site_fract_x
_atom_site_fract_y
_atom_site_fract_z
_atom_site_occupancy
Tb1 Tb 0.000 0.000 0.000 1
Tb2 Tb 0.500 0.500 0.000 1
Y1 Y 0.000 0.500 0.500 1
Hf1 Hf 0.500 0.000 0.500 1
N1 N 0.261 0.000 0.738 1
N2 N 0.269 0.500 0.269 1
```



No. 6
Here is an optimized crystal structure of ZnIn2Se from Alexandria. Energies are from PBE.

Results
V = 101.6 Å³/f.u.
ρ = 6.11 Mg/m³
ΔE_f (raw) = 0.010 eV per atom
Energy relative to the lowest polymorph listed for this composition = 0.182 eV/atom

Structure (CIF):
```
data_ZnIn2Se
_cell_length_a 7.408
_cell_length_b 7.408
_cell_length_c 7.408
_cell_angle_alpha 90.00
_cell_angle_beta 90.00
_cell_angle_gamma 90.00
_space_group_name_H-M_alt 'F m -3 m'
_space_group_IT_number 225
_space_group_name_Hall '-F 4 2 3'
loop_
_atom_site_label
_atom_site_type_symbol
_atom_site_fract_x
_atom_site_fract_y
_atom_site_fract_z
_atom_site_occupancy
Zn1 Zn 0.000 0.000 0.000 1
In1 In 0.250 0.250 0.250 1
Se1 Se 0.000 0.000 0.500 1
```



No. 7
Here is an optimized crystal structure of Te3HPd from Alexandria. Energies are from PBE.

Results
V = 119.9 Å³/f.u.
ρ = 6.79 Mg/m³
Energy relative to the lowest polymorph listed for this composition = 0.000 eV/atom

Structure (CIF):
```
data_Te3HPd
_cell_length_a 12.186
_cell_length_b 12.182
_cell_length_c 7.597
_cell_angle_alpha 90.00
_cell_angle_beta 121.76
_cell_angle_gamma 90.00
_space_group_name_H-M_alt 'C 1 2/c 1'
_space_group_IT_number 15
loop_
_space_group_symop_operation_xyz
'x,y,z'
'-x,-y,-z'
'-x,y,-z+1/2'
'x,-y,z+1/2'
'x+1/2,y+1/2,z'
'-x+1/2,-y+1/2,-z'
'-x+1/2,y+1/2,-z+1/2'
'x+1/2,-y+1/2,z+1/2'
loop_
_atom_site_label
_atom_site_type_symbol
_atom_site_fract_x
_atom_site_fract_y
_atom_site_fract_z
_atom_site_occupancy
Te1 Te 0.124 0.243 0.030 1
Te2 Te 0.127 0.434 0.481 1
Te3 Te 0.135 0.084 0.515 1
H1 H 0.246 0.160 0.232 1
Pd1 Pd 0.000 0.080 0.750 1
Pd2 Pd 0.000 0.254 0.250 1
```



No. 8
Here is an optimized crystal structure of Er2ThBe from Alexandria. Energies are from PBE.

Results
V = 100.7 Å³/f.u.
ρ = 9.50 Mg/m³
ΔH_f (0 K) = 0.07 eV per atom
Energy relative to the lowest polymorph listed for this composition = 0.000 eV/atom

Structure (CIF):
```
data_Er2ThBe
_cell_length_a 3.443
_cell_length_b 3.443
_cell_length_c 8.493
_cell_angle_alpha 90.00
_cell_angle_beta 90.00
_cell_angle_gamma 90.00
_space_group_name_H-M_alt 'P 4/m m m'
_space_group_IT_number 123
_space_group_name_Hall '-P 4 2'
loop_
_atom_site_label
_atom_site_type_symbol
_atom_site_fract_x
_atom_site_fract_y
_atom_site_fract_z
_atom_site_occupancy
Er1 Er 0.000 0.000 0.195 1
Th1 Th 0.500 0.500 0.500 1
Be1 Be 0.500 0.500 0.000 1
```



No. 9
Here is an optimized crystal structure of Pr6Nd12Sc from Alexandria. Energies are from PBE.

Results
V = 673.8 Å³/f.u.
ρ = 6.46 Mg/m³
ΔH_f (0 K) = 0.13 eV per atom

Structure (CIF):
```
data_Pr6Nd12Sc
_cell_length_a 12.3492
_cell_length_b 12.3492
_cell_length_c 15.3050
_cell_angle_alpha 90.00
_cell_angle_beta 90.00
_cell_angle_gamma 120.00
_space_group_name_H-M_alt 'R -3'
_space_group_IT_number 148
_space_group_name_Hall '-R 3'
loop_
_atom_site_label
_atom_site_type_symbol
_atom_site_fract_x
_atom_site_fract_y
_atom_site_fract_z
_atom_site_occupancy
Pr1 Pr 0.0169 0.4247 0.1868 1
Nd1 Nd 0.0015 0.1702 0.3120 1
Nd2 Nd 0.0511 0.8535 0.9158 1
Sc1 Sc 0.0000 0.0000 0.5000 1
```



No. 10
Here is an optimized crystal structure of RbHfSc3 from Alexandria. Energies are from PBE.

Results
V = 126.6 Å³/f.u.
ρ = 5.23 Mg/m³
ΔH_f (0 K) = 1.48 eV per atom
Energy relative to the lowest polymorph listed for this composition = 0.658 eV/atom

Structure (CIF):
```
data_RbHfSc3
_cell_length_a 5.022
_cell_length_b 5.022
_cell_length_c 5.022
_cell_angle_alpha 90.00
_cell_angle_beta 90.00
_cell_angle_gamma 90.00
_space_group_name_H-M_alt 'P m -3 m'
_space_group_IT_number 221
_space_group_name_Hall '-P 4 2 3'
loop_
_atom_site_label
_atom_site_type_symbol
_atom_site_fract_x
_atom_site_fract_y
_atom_site_fract_z
_atom_site_occupancy
Rb1 Rb 0.000 0.000 0.000 1
Hf1 Hf 0.500 0.500 0.500 1
Sc1 Sc 0.000 0.000 0.500 1
```



No. 11
Here is an optimized crystal structure of GaNi3 from Alexandria. Energies are from PBE.

Results
V = 46.0 Å³/f.u.
ρ = 8.88 Mg/m³
ΔH_f (0 K) = -0.28 eV per atom

Structure (CIF):
```
data_GaNi3
_cell_length_a 3.692
_cell_length_b 3.692
_cell_length_c 6.744
_cell_angle_alpha 90.00
_cell_angle_beta 90.00
_cell_angle_gamma 90.00
_space_group_name_H-M_alt 'I 4/m m m'
_space_group_IT_number 139
_space_group_name_Hall '-I 4 2'
loop_
_atom_site_label
_atom_site_type_symbol
_atom_site_fract_x
_atom_site_fract_y
_atom_site_fract_z
_atom_site_occupancy
Ga1 Ga 0.000 0.000 0.000 1
Ni1 Ni 0.000 0.000 0.500 1
Ni2 Ni 0.000 0.500 0.250 1
```



No. 12
Here is an optimized crystal structure of Tb4Pr5Tl2 from Alexandria. Energies are from PBE.

Results
V = 365.1 Å³/f.u.
ρ = 7.95 Mg/m³
ΔH_f (0 K) = -0.04 eV per atom

Structure (CIF):
```
data_Tb4Pr5Tl2
_cell_length_a 8.959
_cell_length_b 3.630
_cell_length_c 11.257
_cell_angle_alpha 90.00
_cell_angle_beta 94.22
_cell_angle_gamma 90.00
_space_group_name_H-M_alt 'P 1 2/m 1'
_space_group_IT_number 10
loop_
_space_group_symop_operation_xyz
'x,y,z'
'-x,-y,-z'
'-x,y,-z'
'x,-y,z'
loop_
_atom_site_label
_atom_site_type_symbol
_atom_site_fract_x
_atom_site_fract_y
_atom_site_fract_z
_atom_site_occupancy
Tb1 Tb 0.153 0.000 0.391 1
Tb2 Tb 0.215 0.000 0.947 1
Pr1 Pr 0.199 0.500 0.666 1
Pr2 Pr 0.461 0.500 0.166 1
Pr3 Pr 0.500 0.500 0.500 1
Tl1 Tl 0.085 0.500 0.156 1
```